# 1
Computed, not measured: a relaxed structure of ErCoAgCl6 at the PBE level of DFT.

```
ErCoAgCl6
1.0
6.503 0.000 0.000
-3.251 5.632 0.000
0.000 0.000 12.189
Er Co Ag Cl
2 2 2 12
Direct
0.333 0.667 0.250 Er
0.667 0.333 0.750 Er
0.333 0.667 0.750 Co
0.667 0.333 0.250 Co
0.000 0.000 0.000 Ag
0.000 0.000 0.500 Ag
0.020 0.362 0.633 Cl
0.020 0.658 0.867 Cl
0.342 0.362 0.867 Cl
0.342 0.980 0.633 Cl
0.362 0.020 0.133 Cl
0.362 0.342 0.367 Cl
0.638 0.658 0.633 Cl
0.638 0.980 0.867 Cl
0.658 0.020 0.367 Cl
0.658 0.638 0.133 Cl
0.980 0.342 0.133 Cl
0.980 0.638 0.367 Cl
```

Calculated values
Electronic total energy   -4.1066 eV/atom
Formation energy from raw total energies   -1.2622 eV per atom
Theoretical density   4.1 g cm⁻³
Fermi-level density of states   0.92 states/eV/f.u.

# 2
Computed, not measured: a relaxed structure of Ca3Ce3NpN8 at the PBE level of DFT.

```
Ca3Ce3NpN8
1.0
3.555 2.053 5.670
-3.555 2.053 5.670
0.000 -4.105 5.670
Ca Ce Np N
3 3 1 8
Direct
0.000 0.500 0.500 Ca
0.500 0.000 0.500 Ca
0.500 0.500 0.000 Ca
0.000 0.000 0.500 Ce
0.000 0.500 0.000 Ce
0.500 0.000 0.000 Ce
0.500 0.500 0.500 Np
0.241 0.241 0.241 N
0.267 0.715 0.715 N
0.285 0.285 0.733 N
0.285 0.733 0.285 N
0.715 0.267 0.715 N
0.715 0.715 0.267 N
0.733 0.285 0.285 N
0.759 0.759 0.759 N
```

Calculated values
Electronic total energy   -8.1430 eV/atom
Formation energy from raw total energies   -1.2530 eV per atom
Theoretical density   6.0 g cm⁻³
Fermi-level density of states   3.61 states/eV/f.u.

# 3
Computed, not measured: a relaxed structure of In4Cu at the PBE level of DFT.

```
In4Cu
1.0
5.140 0.000 0.000
0.000 5.140 0.000
0.000 0.000 5.140
In Cu
4 1
Direct
0.000 0.000 0.000 In
0.000 0.500 0.500 In
0.500 0.000 0.500 In
0.500 0.500 0.000 In
0.500 0.500 0.500 Cu
```

Calculated values
E above lowest polymorph   0.1123 eV per atom
Electronic total energy   -2.8668 eV/atom
Energy relative to the elements   0.143 eV/atom
Theoretical density   6.4 g cm⁻³
Fermi-level density of states   2.62 states/eV/f.u.

# 4
Computed, not measured: a relaxed structure of SiGeRu2 at the PBE level of DFT.

```
SiGeRu2
1.0
-2.723 2.723 5.417
2.723 -2.723 5.417
2.723 2.723 -5.417
Si Ge Ru
2 2 4
Direct
0.000 0.000 0.000 Si
0.750 0.250 0.500 Si
0.250 0.750 0.500 Ge
0.500 0.500 0.000 Ge
0.110 0.625 0.985 Ru
0.375 0.360 0.485 Ru
0.640 0.125 0.015 Ru
0.875 0.890 0.515 Ru
```

Calculated values
E above lowest polymorph   0.8176 eV per atom
Electronic total energy   -6.7716 eV/atom
Formation energy from raw total energies   0.3764 eV per atom
Theoretical density   6.3 g cm⁻³
Fermi-level density of states   0.00 states/eV/f.u.

# 5
Computed, not measured: a relaxed structure of MgGaNi6 at the PBE level of DFT.

```
MgGaNi6
1.0
3.609 -5.115 0.000
3.609 5.115 0.000
0.000 0.000 10.233
Mg Ga Ni
4 4 24
Direct
0.000 0.000 0.249 Mg
0.000 0.000 0.751 Mg
0.245 0.755 0.500 Mg
0.755 0.245 0.500 Mg
0.243 0.757 0.000 Ga
0.500 0.500 0.250 Ga
0.500 0.500 0.750 Ga
0.757 0.243 0.000 Ga
0.000 0.000 0.000 Ni
0.000 0.000 0.500 Ni
0.130 0.382 0.123 Ni
0.130 0.382 0.877 Ni
0.132 0.380 0.373 Ni
0.132 0.380 0.627 Ni
0.252 0.748 0.246 Ni
0.252 0.748 0.754 Ni
0.380 0.132 0.373 Ni
0.380 0.132 0.627 Ni
0.382 0.130 0.123 Ni
0.382 0.130 0.877 Ni
0.500 0.500 0.000 Ni
0.500 0.500 0.500 Ni
0.618 0.870 0.123 Ni
0.618 0.870 0.877 Ni
0.620 0.868 0.373 Ni
0.620 0.868 0.627 Ni
0.748 0.252 0.246 Ni
0.748 0.252 0.754 Ni
0.868 0.620 0.373 Ni
0.868 0.620 0.627 Ni
0.870 0.618 0.123 Ni
0.870 0.618 0.877 Ni
```

Calculated values
Electronic total energy   -5.0965 eV/atom
Energy relative to the elements   -0.183 eV/atom
Theoretical density   7.8 g cm⁻³
Fermi-level density of states   7.71 states/eV/f.u.

# 6
Computed, not measured: a relaxed structure of K3Np2Br9 at the PBE level of DFT.

```
K3Np2Br9
1.0
6.956 4.016 6.436
-6.956 4.016 6.436
0.000 -8.032 6.436
K Np Br
6 4 18
Direct
0.051 0.750 0.449 K
0.250 0.551 0.949 K
0.449 0.051 0.750 K
0.551 0.949 0.250 K
0.750 0.449 0.051 K
0.949 0.250 0.551 K
0.146 0.146 0.146 Np
0.354 0.354 0.354 Np
0.646 0.646 0.646 Np
0.854 0.854 0.854 Np
0.053 0.281 0.918 Br
0.082 0.947 0.719 Br
0.094 0.406 0.250 Br
0.219 0.447 0.582 Br
0.250 0.094 0.406 Br
0.281 0.918 0.053 Br
0.406 0.250 0.094 Br
0.418 0.781 0.553 Br
0.447 0.582 0.219 Br
0.553 0.418 0.781 Br
0.582 0.219 0.447 Br
0.594 0.750 0.906 Br
0.719 0.082 0.947 Br
0.750 0.906 0.594 Br
0.781 0.553 0.418 Br
0.906 0.594 0.750 Br
0.918 0.053 0.281 Br
0.947 0.719 0.082 Br
```

Calculated values
Electronic total energy   -4.6363 eV/atom
Formation energy from raw total energies   -1.4770 eV per atom
Theoretical density   4.0 g cm⁻³
Fermi-level density of states   9.85 states/eV/f.u.

# 7
Computed, not measured: a relaxed structure of Mg2Ta2TiN6 at the PBE level of DFT.

```
Mg2Ta2TiN6
1.0
2.653 -4.628 0.000
2.653 4.628 0.000
-1.670 0.000 5.109
Mg Ta Ti N
2 2 1 6
Direct
0.166 0.834 0.000 Mg
0.834 0.166 0.000 Mg
0.336 0.664 0.500 Ta
0.664 0.336 0.500 Ta
0.000 0.000 0.500 Ti
0.060 0.406 0.723 N
0.250 0.250 0.283 N
0.406 0.060 0.723 N
0.594 0.940 0.277 N
0.750 0.750 0.717 N
0.940 0.594 0.277 N
```

Calculated values
Electronic total energy   -8.7985 eV/atom
Formation energy from raw total energies   -1.0947 eV per atom
Theoretical density   7.2 g cm⁻³

# 8
Computed, not measured: a relaxed structure of KPa4Se12 at the PBE level of DFT.

```
KPa4Se12
1.0
-5.484 5.484 5.484
5.484 -5.484 5.484
5.484 5.484 -5.484
K Pa Se
1 4 12
Direct
0.000 0.000 0.000 K
0.000 0.000 0.500 Pa
0.000 0.500 0.000 Pa
0.500 0.000 0.000 Pa
0.500 0.500 0.500 Pa
0.004 0.754 0.250 Se
0.246 0.250 0.497 Se
0.246 0.750 0.996 Se
0.250 0.004 0.754 Se
0.250 0.497 0.246 Se
0.497 0.246 0.250 Se
0.503 0.754 0.750 Se
0.750 0.503 0.754 Se
0.750 0.996 0.246 Se
0.754 0.250 0.004 Se
0.754 0.750 0.503 Se
0.996 0.246 0.750 Se
```

Calculated values
Electronic total energy   -5.8003 eV/atom
Formation energy from raw total energies   -1.0418 eV per atom
Theoretical density   4.8 g cm⁻³
Fermi-level density of states   5.02 states/eV/f.u.

# 9
Computed, not measured: a relaxed structure of PmErCd2 at the PBE level of DFT.

```
PmErCd2
1.0
0.000 3.776 3.776
3.776 0.000 3.776
3.776 3.776 0.000
Pm Er Cd
1 1 2
Direct
0.000 0.000 0.000 Pm
0.500 0.500 0.500 Er
0.250 0.250 0.250 Cd
0.750 0.750 0.750 Cd
```

Calculated values
E above lowest polymorph   0.0000 eV per atom
Electronic total energy   -3.1012 eV/atom
Energy relative to the elements   -0.315 eV/atom
Theoretical density   8.3 g cm⁻³
Fermi-level density of states   4.33 states/eV/f.u.

# 10
Computed, not measured: a relaxed structure of SrCd2InHg at the PBE level of DFT.

```
SrCd2InHg
1.0
-2.259 2.346 6.538
2.259 -2.346 6.538
2.259 2.346 -6.538
Sr Cd In Hg
1 2 1 1
Direct
0.000 0.000 0.000 Sr
0.614 0.614 0.000 Cd
0.758 0.258 0.500 Cd
0.251 0.751 0.500 In
0.400 0.400 0.000 Hg
```

Calculated values
E above lowest polymorph   0.0000 eV per atom
Electronic total energy   -1.6074 eV/atom
Energy relative to the elements   -0.297 eV/atom
Theoretical density   7.5 g cm⁻³
Fermi-level density of states   2.63 states/eV/f.u.

# 11
Computed, not measured: a relaxed structure of Tl3CrAs at the PBE level of DFT.

```
Tl3CrAs
1.0
5.341 0.000 0.000
0.000 5.341 0.000
0.000 0.000 5.341
Tl Cr As
3 1 1
Direct
0.000 0.000 0.500 Tl
0.000 0.500 0.000 Tl
0.500 0.000 0.000 Tl
0.000 0.000 0.000 Cr
0.500 0.500 0.500 As
```

Calculated values
E above lowest polymorph   0.0000 eV per atom
Electronic total energy   -3.6216 eV/atom
Energy relative to the elements   0.653 eV/atom
Theoretical density   8.1 g cm⁻³
Fermi-level density of states   3.93 states/eV/f.u.

# 12
Computed, not measured: a relaxed structure of Re2PbBr at the PBE level of DFT.

```
Re2PbBr
1.0
1.514 -2.709 0.000
1.514 2.709 0.000
0.000 0.000 9.239
Re Pb Br
2 1 1
Direct
0.000 0.000 0.244 Re
0.000 0.000 0.756 Re
0.500 0.500 0.500 Pb
0.500 0.500 0.000 Br
```

Calculated values
E above lowest polymorph   1.1858 eV per atom
Electronic total energy   -6.0772 eV/atom
Formation energy from raw total energies   1.4921 eV per atom
Theoretical density   14.4 g cm⁻³
Fermi-level density of states   5.59 states/eV/f.u.

# 13
Computed, not measured: a relaxed structure of LaPdSCl2 at the PBE level of DFT.

```
LaPdSCl2
1.0
5.504 0.000 0.000
0.000 5.504 0.000
0.000 0.000 5.604
La Pd S Cl
1 1 1 2
Direct
0.000 0.000 0.000 La
0.500 0.500 0.500 Pd
0.000 0.000 0.500 S
0.000 0.500 0.000 Cl
0.500 0.000 0.000 Cl
```

Calculated values
E above lowest polymorph   0.2031 eV per atom
Electronic total energy   -4.4111 eV/atom
Formation energy from raw total energies   -0.8229 eV per atom
Theoretical density   3.4 g cm⁻³
Fermi-level density of states   5.79 states/eV/f.u.

# 14
Computed, not measured: a relaxed structure of AlRe2HgH at the PBE level of DFT.

```
AlRe2HgH
1.0
5.338 0.000 0.000
0.000 5.338 0.000
0.000 0.000 4.901
Al Re Hg H
1 2 1 1
Direct
0.000 0.000 0.000 Al
0.000 0.500 0.500 Re
0.500 0.000 0.500 Re
0.000 0.000 0.500 Hg
0.500 0.500 0.000 H
```

Calculated values
Electronic total energy   -3.5165 eV/atom
Theoretical density   7.1 g cm⁻³
Fermi-level density of states   3.88 states/eV/f.u.

# 15
Computed, not measured: a relaxed structure of CeMnP2Os at the PBE level of DFT.

```
CeMnP2Os
1.0
-2.016 2.016 4.844
2.016 -2.016 4.844
2.016 2.016 -4.844
Ce Mn P Os
1 1 2 1
Direct
0.000 0.000 0.000 Ce
0.250 0.750 0.500 Mn
0.367 0.367 0.000 P
0.633 0.633 0.000 P
0.750 0.250 0.500 Os
```

Calculated values
Electronic total energy   -8.2755 eV/atom
Energy relative to the elements   -0.845 eV/atom
Theoretical density   9.4 g cm⁻³
Fermi-level density of states   4.47 states/eV/f.u.

# 16
Computed, not measured: a relaxed structure of PaSnO5 at the PBE level of DFT.

```
PaSnO5
1.0
-1.973 3.345 4.109
1.973 -3.345 4.109
1.973 3.345 -4.109
Pa Sn O
1 1 5
Direct
0.000 0.000 0.000 Pa
0.500 0.500 0.000 Sn
0.190 0.500 0.690 O
0.244 0.244 0.000 O
0.500 0.000 0.500 O
0.756 0.756 0.000 O
0.810 0.500 0.310 O
```

Calculated values
Electronic total energy   -7.7036 eV/atom
Formation energy from raw total energies   -2.2336 eV per atom
Theoretical density   6.6 g cm⁻³
Fermi-level density of states   4.14 states/eV/f.u.

# 17
Computed, not measured: a relaxed structure of Cs2SrRhCl6 at the PBE level of DFT.

```
Cs2SrRhCl6
1.0
0.000 5.350 5.350
5.350 0.000 5.350
5.350 5.350 0.000
Cs Sr Rh Cl
2 1 1 6
Direct
0.250 0.250 0.250 Cs
0.750 0.750 0.750 Cs
0.000 0.000 0.000 Sr
0.500 0.500 0.500 Rh
0.267 0.267 0.733 Cl
0.267 0.733 0.267 Cl
0.267 0.733 0.733 Cl
0.733 0.267 0.267 Cl
0.733 0.267 0.733 Cl
0.733 0.733 0.267 Cl
```

Calculated values
Electronic total energy   -3.7898 eV/atom
Formation energy from raw total energies   -1.6078 eV per atom
Theoretical density   3.6 g cm⁻³
Fermi-level density of states   6.60 states/eV/f.u.

# 18
Computed, not measured: a relaxed structure of YBe3 at the PBE level of DFT.

```
YBe3
1.0
3.191 -1.842 0.000
3.191 1.842 0.000
-2.115 0.000 4.855
Y Be
1 3
Direct
0.000 0.000 0.000 Y
0.192 0.192 0.575 Be
0.500 0.500 0.500 Be
0.808 0.808 0.425 Be
```

Calculated values
E above lowest polymorph   0.0000 eV per atom
Electronic total energy   -4.4850 eV/atom
Energy relative to the elements   -0.074 eV/atom
Theoretical density   3.4 g cm⁻³
Fermi-level density of states   2.35 states/eV/f.u.

# 19
Computed, not measured: a relaxed structure of NbFe2Br6 at the PBE level of DFT.

```
NbFe2Br6
1.0
6.678 -5.844 0.000
6.678 5.844 0.000
-1.167 0.000 6.226
Nb Fe Br
2 4 12
Direct
0.063 0.937 0.750 Nb
0.937 0.063 0.250 Nb
0.219 0.414 0.696 Fe
0.414 0.219 0.196 Fe
0.586 0.781 0.804 Fe
0.781 0.586 0.304 Fe
0.033 0.216 0.632 Br
0.115 0.658 0.881 Br
0.216 0.033 0.132 Br
0.289 0.458 0.357 Br
0.342 0.885 0.619 Br
0.458 0.289 0.857 Br
0.542 0.711 0.143 Br
0.658 0.115 0.381 Br
0.711 0.542 0.643 Br
0.784 0.967 0.868 Br
0.885 0.342 0.119 Br
0.967 0.784 0.368 Br
```

Calculated values
Electronic total energy   -4.4925 eV/atom
Formation energy from raw total energies   -0.3778 eV per atom
Theoretical density   4.7 g cm⁻³
Fermi-level density of states   10.50 states/eV/f.u.

# 20
Computed, not measured: a relaxed structure of Al2SbMo at the PBE level of DFT.

```
Al2SbMo
1.0
1.609 0.929 8.452
-1.609 0.929 8.452
0.000 -1.858 8.452
Al Sb Mo
2 1 1
Direct
0.000 0.000 0.000 Al
0.250 0.250 0.250 Al
0.760 0.760 0.760 Sb
0.506 0.506 0.506 Mo
```

Calculated values
Electronic total energy   -5.4007 eV/atom
Formation energy from raw total energies   0.2089 eV per atom
Theoretical density   6.0 g cm⁻³
Fermi-level density of states   1.83 states/eV/f.u.